# IrW2O, relaxed, DFT PBE with a Hubbard U
data_IrW2O
_symmetry_space_group_name_H-M 'I -4 2 d'
_symmetry_Int_Tables_number 122
_symmetry_space_group_name_Hall 'I -4 2bw'
_cell_length_a 4.880
_cell_length_b 4.880
_cell_length_c 11.846
_cell_angle_alpha 90.00
_cell_angle_beta 90.00
_cell_angle_gamma 90.00
loop_
_atom_site_label
_atom_site_type_symbol
_atom_site_fract_x
_atom_site_fract_y
_atom_site_fract_z
Ir1 Ir 0.000 0.000 0.000
W1 W 0.163 0.250 0.625
O1 O 0.000 0.000 0.500
# * crystal system: tetragonal
# * total DFT energy (no corrections): -6.5722 eV per atom